(1)
A plane-wave DFT calculation with PBE-GGA was carried out for BaBr2N after structural relaxation.

Offset from the most stable computed form   200 meV/atom
Magnetization   3.00 μB per formula unit

Cell: 9.9120 9.9120 9.9120 Å, 140.47 140.47 57.15°
Closest atoms and distances in Å follow each position.
Fractional positions:
Ba 0.0000 0.0000 0.0000  4 Br 3.13
Ba 0.7500 0.2500 0.5000  4 Br 3.13
Br 0.0979 0.6250 0.9729  2 Ba 3.13, 2 N 3.32
Br 0.3750 0.3479 0.4729  2 Ba 3.13, 2 N 3.32
Br 0.6521 0.1250 0.0271  2 Ba 3.13, 2 N 3.32
Br 0.8750 0.9021 0.5271  2 Ba 3.13, 2 N 3.32
N 0.2500 0.7500 0.5000  4 Br 3.32
N 0.5000 0.5000 0.0000  4 Br 3.32

***

(2)
A plane-wave DFT calculation with PBE-GGA was carried out for Ba6Br2N3 after structural relaxation.

Magnetization   0.96 μB per formula unit

Cell: 7.2146 7.2146 8.2814 Å, 98.35 98.35 119.99°
Closest atoms and distances in Å follow each position.
Fractional positions:
Ba 0.1044 0.4352 0.8130  3 N 2.82-2.84
Ba 0.2269 0.2269 0.1889  3 N 2.83-2.85
Ba 0.4352 0.1044 0.8130  3 N 2.82-2.84
Ba 0.5648 0.8956 0.1870  3 N 2.82-2.84
Ba 0.7731 0.7731 0.8111  3 N 2.83-2.85
Ba 0.8956 0.5648 0.1870  3 N 2.82-2.84
Br 0.3333 0.6667 0.5000  6 Ba 3.45-3.46
Br 0.6667 0.3333 0.5000  6 Ba 3.45-3.46
N 0.1670 0.8330 0.0000  6 Ba 2.82-2.84
N 0.5000 0.5000 0.0000  6 Ba 2.82-2.85
N 0.8330 0.1670 0.0000  6 Ba 2.82-2.84

***

(3)
A plane-wave DFT calculation with PBE-GGA was carried out for Ba2BrN2 after structural relaxation.

Offset from the most stable computed form   0 meV/atom
Magnetization   0.00 μB per formula unit

Cell: 8.3727 8.3727 7.3508 Å, 100.40 100.40 30.86°
Closest atoms and distances in Å follow each position.
Fractional positions:
Ba 0.0577 0.6417 0.8497  2 N 2.57-2.81
Ba 0.3583 0.9423 0.6503  2 N 2.57-2.81
Ba 0.6417 0.0577 0.3497  2 N 2.57-2.81
Ba 0.9423 0.3583 0.1503  2 N 2.57-2.81
Br 0.2821 0.7179 0.2500  6 Ba 3.44-3.50
Br 0.7179 0.2821 0.7500  6 Ba 3.44-3.50
N 0.1302 0.4142 0.4757  1 N 1.29
N 0.4142 0.1302 0.9757  1 N 1.29
N 0.5858 0.8698 0.0243  1 N 1.29
N 0.8698 0.5858 0.5243  1 N 1.29

***

(4)
A plane-wave DFT calculation with PBE-GGA was carried out for Ba2NdBr2N2 after structural relaxation.

Magnetization   0.34 μB per formula unit

Cell: 9.1380 9.1380 9.1380 Å, 150.07 150.07 42.84°
Closest atoms and distances in Å follow each position.
Fractional positions:
Ba 0.1079 0.1079 0.0000  4 N 2.99
Ba 0.8921 0.8921 0.0000  4 N 2.99
Nd 0.5000 0.5000 0.0000  4 N 2.36
Br 0.3189 0.3189 0.0000  1 Nd 3.08
Br 0.6811 0.6811 0.0000  1 Nd 3.08
N 0.0000 0.5000 0.5000  2 Nd 2.36
N 0.5000 0.0000 0.5000  2 Nd 2.36

***

(5)
A plane-wave DFT calculation with PBE-GGA was carried out for BaBrNO2 after structural relaxation.

Magnetization   6.00 μB per formula unit

Cell: 4.9691 4.9691 5.8783 Å, 90.00 90.00 90.00°
Closest atoms and distances in Å follow each position.
Fractional positions:
Ba 0.0000 0.0000 0.0000  4 O 2.48
Br 0.5000 0.5000 0.5000  4 N 3.51, 8 O 3.85
N 0.0000 0.0000 0.5000  2 Ba 2.94
O 0.0000 0.5000 0.0000  2 Ba 2.48
O 0.5000 0.0000 0.0000  2 Ba 2.48

***

(6)
A plane-wave DFT calculation with PBE-GGA was carried out for Ba8Br4N3O after structural relaxation.

Magnetization   0.00 μB per formula unit

Cell: 9.2619 9.2619 9.2619 Å, 53.41 53.41 53.41°
Closest atoms and distances in Å follow each position.
Fractional positions:
Ba 0.2261 0.7305 0.7305  2 N 2.81, 1 O 2.84
Ba 0.2304 0.2304 0.2304  3 N 2.84
Ba 0.2695 0.2695 0.7739  2 N 2.81, 1 O 2.84
Ba 0.2695 0.7739 0.2695  2 N 2.81, 1 O 2.84
Ba 0.7305 0.2261 0.7305  2 N 2.81, 1 O 2.84
Ba 0.7305 0.7305 0.2261  2 N 2.81, 1 O 2.84
Ba 0.7696 0.7696 0.7696  3 N 2.84
Ba 0.7739 0.2695 0.2695  2 N 2.81, 1 O 2.84
Br 0.0000 0.0000 0.0000  6 Ba 3.44
Br 0.0000 0.5000 0.5000  6 Ba 3.43-3.46
Br 0.5000 0.0000 0.5000  6 Ba 3.43-3.46
Br 0.5000 0.5000 0.0000  6 Ba 3.43-3.46
N 0.0000 0.0000 0.5000  6 Ba 2.81-2.84
N 0.0000 0.5000 0.0000  6 Ba 2.81-2.84
N 0.5000 0.0000 0.0000  6 Ba 2.81-2.84
O 0.5000 0.5000 0.5000  6 Ba 2.84

***

The formation energy without anion corrections results, record by record, are as follows: -181, -943, -1096, -1317, 700, -1393 meV/atom.